4
Lattice="4.9710 0.0000 0.0000 0.0000 4.9710 0.0000 0.0000 0.0000 3.9356" Properties=species:S:1:pos:R:3 comment="Y2NiPb PBE relaxed" crystal_system=tetragonal total_magnetization_mub_per_fu=0.0 dos_at_fermi_per_ev_fu=3.003 total_energy_ev_per_atom=-5.90 pbc="T T T"
Y 0.0000 2.4855 0.0000
Y 2.4855 0.0000 0.0000
Ni 0.0000 0.0000 1.9678
Pb 2.4855 2.4855 1.9678



18
Lattice="-4.7012 4.9217 5.1073 4.7012 -4.9217 5.1073 4.7012 4.9217 -5.1073" Properties=species:S:1:pos:R:3 comment="Y6Ni2Pb PBE relaxed" crystal_system=orthorhombic total_magnetization_mub_per_fu=0.0 dos_at_fermi_per_ev_fu=8.809 total_energy_ev_per_atom=-6.36 pbc="T T T"
Y 4.7012 2.8844 -2.7504
Y 2.7656 1.7942 0.0000
Y 6.6367 1.7942 0.0000
Y 1.7927 4.9217 -1.7851
Y 2.9084 0.0000 3.3222
Y 0.0000 2.0374 2.3570
Y 4.7012 2.8844 2.7504
Y 1.7927 4.9217 1.7851
Y 2.9084 0.0000 6.8924
Y -1.9355 3.1276 5.1073
Y 1.9355 3.1276 5.1073
Y 0.0000 2.0374 7.8577
Ni 4.7012 0.0000 1.2553
Ni 0.0000 3.4934 0.0000
Ni 0.0000 6.3501 0.0000
Ni 0.0000 4.9217 3.8520
Pb 0.0000 0.0000 0.0000
Pb 0.0000 0.0000 5.1073



4
Lattice="3.4702 0.0000 0.0000 0.0000 3.4846 0.0000 -0.0076 0.0000 7.9711" Properties=species:S:1:pos:R:3 comment="Y2NiPb PBE relaxed" crystal_system=monoclinic total_magnetization_mub_per_fu=0.0 dos_at_fermi_per_ev_fu=2.678 total_energy_ev_per_atom=-6.02 pbc="T T T"
Y 3.4681 0.0000 1.6387
Y -0.0054 0.0000 6.3325
Ni 1.7351 1.7423 0.0000
Pb 1.7313 1.7423 3.9856



14
Lattice="6.9077 0.0000 0.0000 -1.8218 6.8708 0.0000 -2.3681 -3.2149 7.2911" Properties=species:S:1:pos:R:3 comment="Y4Ni2Pb PBE relaxed" crystal_system=triclinic total_magnetization_mub_per_fu=0.0 dos_at_fermi_per_ev_fu=6.142 total_energy_ev_per_atom=-6.21 pbc="T T T"
Y 0.0000 0.0000 0.0000
Y -2.4661 0.2218 5.8059
Y -1.0719 3.3795 4.6346
Y 0.8408 2.8693 1.7321
Y 1.7618 -0.4736 3.1906
Y 0.9629 0.6907 6.2876
Y 4.3131 1.9182 1.6145
Y 3.4622 5.3640 2.8385
Ni -1.3518 4.4150 1.3551
Ni -0.5607 0.9461 3.3848
Ni -0.1789 -1.6427 6.8695
Ni 2.4190 -1.6751 5.8539
Pb 1.3531 5.9332 0.4066
Pb 2.5240 2.6849 4.3423



5
Lattice="4.7517 0.0000 0.0000 0.0000 4.7517 0.0000 0.0000 0.0000 4.7517" Properties=species:S:1:pos:R:3 comment="YNi3Pb PBE relaxed" crystal_system=cubic total_magnetization_mub_per_fu=0.0 dos_at_fermi_per_ev_fu=4.304 e_above_lowest_polymorph_kj_per_mol_atoms=0.0 pbc="T T T"
Y 0.0000 0.0000 0.0000
Ni 0.0000 2.3759 2.3759
Ni 2.3759 0.0000 2.3759
Ni 2.3759 2.3759 0.0000
Pb 2.3759 2.3759 2.3759



4
Lattice="4.6020 0.0000 0.0000 0.0000 4.6020 0.0000 0.0000 0.0000 4.4569" Properties=species:S:1:pos:R:3 comment="YNiPb2 PBE relaxed" crystal_system=tetragonal total_magnetization_mub_per_fu=0.0 dos_at_fermi_per_ev_fu=3.591 e_above_lowest_polymorph_kj_per_mol_atoms=5.4 pbc="T T T"
Y 0.0000 0.0000 0.0000
Ni 2.3010 2.3010 0.0000
Pb 0.0000 2.3010 2.2284
Pb 2.3010 0.0000 2.2284



8
Lattice="6.5395 0.0000 0.0000 0.0000 3.7847 0.0000 -2.2035 0.0000 8.5314" Properties=species:S:1:pos:R:3 comment="Y2NiPb PBE relaxed" crystal_system=monoclinic total_magnetization_mub_per_fu=0.0 dos_at_fermi_per_ev_fu=3.513 total_energy_ev_per_atom=-5.93 pbc="T T T"
Y 1.0821 0.0000 1.6238
Y -0.0158 1.8923 6.9076
Y 4.3518 1.8923 1.6238
Y 3.2540 0.0000 6.9076
Ni 0.0000 1.8923 0.0000
Ni 3.2697 0.0000 0.0000
Pb -1.1017 0.0000 4.2657
Pb 2.1680 1.8923 4.2657



12
Lattice="8.2759 -2.2428 0.0000 8.2759 2.2428 0.0000 -7.2100 0.0000 8.3000" Properties=species:S:1:pos:R:3 comment="Y5Ni2Pb5 PBE relaxed" crystal_system=monoclinic total_magnetization_mub_per_fu=0.0 dos_at_fermi_per_ev_fu=5.809 total_energy_ev_per_atom=-5.65 pbc="T T T"
Y 0.0000 0.0000 0.0000
Y -0.9409 0.0000 3.5030
Y -2.9321 0.0000 6.8057
Y 12.2740 0.0000 1.4942
Y 10.2827 0.0000 4.7969
Ni 0.4756 0.0000 6.2829
Ni 8.8662 0.0000 2.0170
Pb 2.0039 0.0000 2.3856
Pb 6.2934 0.0000 1.1668
Pb 4.6709 0.0000 4.1500
Pb 3.0484 0.0000 7.1332
Pb 7.3379 0.0000 5.9143



5
Lattice="5.8453 0.0000 0.0000 0.0000 5.8453 0.0000 0.0000 0.0000 5.8453" Properties=species:S:1:pos:R:3 comment="YNiPb3 PBE relaxed" crystal_system=cubic total_magnetization_mub_per_fu=0.0 dos_at_fermi_per_ev_fu=7.158 e_above_lowest_polymorph_kj_per_mol_atoms=96.6 pbc="T T T"
Y 0.0000 0.0000 0.0000
Ni 2.9226 2.9226 2.9226
Pb 0.0000 0.0000 2.9226
Pb 0.0000 2.9226 0.0000
Pb 2.9226 0.0000 0.0000



14
Lattice="5.6995 -2.2256 0.0000 5.6995 2.2256 0.0000 -5.0611 0.0000 14.4409" Properties=species:S:1:pos:R:3 comment="Y3NiPb3 PBE relaxed" crystal_system=monoclinic total_magnetization_mub_per_fu=0.0 dos_at_fermi_per_ev_fu=4.191 total_energy_ev_per_atom=-5.65 pbc="T T T"
Y -1.6769 0.0000 5.5296
Y -3.6024 0.0000 13.3009
Y 1.4688 0.0000 3.4592
Y 4.8691 0.0000 10.9816
Y 9.9403 0.0000 1.1399
Y 8.0148 0.0000 8.9112
Ni -0.0669 0.0000 8.9201
Ni 6.4048 0.0000 5.5208
Pb 1.6188 0.0000 6.6423
Pb -0.5456 0.0000 13.3194
Pb 1.6383 0.0000 11.0088
Pb 4.6996 0.0000 3.4320
Pb 6.8835 0.0000 1.1215
Pb 4.7191 0.0000 7.7986



8
Lattice="3.4975 0.0000 0.0000 0.0000 4.8575 0.0000 0.0000 0.0000 11.4828" Properties=species:S:1:pos:R:3 comment="Y2NiPb PBE relaxed" crystal_system=orthorhombic total_magnetization_mub_per_fu=0.0 dos_at_fermi_per_ev_fu=3.025 total_energy_ev_per_atom=-5.93 pbc="T T T"
Y 0.0000 0.0000 0.0000
Y 0.0000 2.4287 2.3699
Y 1.7488 0.0000 8.1113
Y 1.7488 2.4287 5.7414
Ni 0.0000 2.4287 8.0616
Ni 1.7488 0.0000 2.3202
Pb 0.0000 0.0000 4.6054
Pb 1.7488 2.4287 10.3468



5
Lattice="4.8208 0.0000 0.0000 0.0000 4.8208 0.0000 0.0000 0.0000 4.8208" Properties=species:S:1:pos:R:3 comment="YNi3Pb PBE relaxed" crystal_system=cubic total_magnetization_mub_per_fu=0.0 dos_at_fermi_per_ev_fu=3.160 e_above_lowest_polymorph_kj_per_mol_atoms=42.8 pbc="T T T"
Y 0.0000 0.0000 0.0000
Ni 0.0000 0.0000 2.4104
Ni 0.0000 2.4104 0.0000
Ni 2.4104 0.0000 0.0000
Pb 2.4104 2.4104 2.4104



> Which formula does entry 4 have?

Y4Ni2Pb